1.
Compound: TaCr3Cu2S8
Source: Alexandria
Functional: PBE
Structure: optimized geometry

extended XYZ file:
```
28
Lattice="6.034 0.015 0.110 0.007 6.951 0.152 -2.403 -0.230 12.276" Properties=species:S:1:pos:R:3 pbc="T T T"
Cr 0.881 -0.040 3.099
Cu 2.549 3.274 11.908
S 1.912 1.694 1.861
S -1.244 3.342 7.947
Cu 4.808 3.421 5.820
S 2.876 -0.058 4.468
Ta 4.060 5.006 3.393
S 0.697 3.290 10.550
S 3.747 4.982 10.836
Cr 3.904 1.699 3.206
S 2.804 3.350 4.644
Cu 2.867 0.034 0.535
Cu 2.771 -0.090 6.670
Cr 0.870 3.420 3.144
S 3.754 1.605 10.765
S 0.699 -0.187 10.594
Ta 2.923 -0.142 9.366
S 1.735 5.101 8.012
S -0.158 1.688 4.428
Cr 2.736 3.325 9.223
S -0.039 5.110 4.686
S 4.971 3.405 1.835
S 1.968 5.205 1.924
Cr -0.286 5.071 9.328
S 4.909 6.928 2.004
S 1.727 1.606 7.931
Cr -0.286 1.559 9.247
S -1.197 -0.131 7.760
```

Computed properties:
- space group = P1 (1)
- relative energy among the computed polymorphs (meV per atom) = 64
- uncorrected formation energy (meV per atom) = -648
- total magnetic moment (μB/cell) = 18.0
- calculated volume (Å³ per atom) = 18.46
- theoretical density (g/cm³) = 4.63


2.
Compound: MgReAg4
Source: Alexandria
Functional: PBE
Structure: optimized geometry

extended XYZ file:
```
6
Lattice="-3.772 -3.799 0.728 -2.023 -0.888 4.930 -5.087 1.426 1.129" Properties=species:S:1:pos:R:3 pbc="T T T"
Mg -8.162 -2.445 5.091
Re 0.000 0.000 0.000
Ag -6.626 -0.509 3.110
Ag -4.080 -1.222 2.544
Ag -5.967 -3.124 2.909
Ag -5.092 -1.667 5.012
```

Computed properties:
- space group = F-43m (216)
- total magnetic moment (μB/cell) = 2.6
- calculated volume (Å³ per atom) = 18.58
- calculated formation energy (eV/atom) = 0.64
- theoretical density (g/cm³) = 9.56


3.
Compound: Cu2BiTeS2
Source: Alexandria
Functional: PBE
Structure: optimized geometry

extended XYZ file:
```
12
Lattice="-3.125 -4.260 -4.355 4.620 -2.763 -0.612 -2.287 -4.123 5.674" Properties=species:S:1:pos:R:3 pbc="T T T"
S 0.029 -7.626 2.071
S -0.821 -3.521 -1.364
Cu -0.559 -3.297 0.935
S 1.583 -5.507 4.236
Bi -2.096 -5.020 3.723
Bi 1.304 -6.127 -3.016
Te 1.809 -4.598 0.508
Te -2.601 -6.549 0.199
S -2.375 -5.639 -3.529
Cu 0.273 -5.360 2.356
Cu -1.065 -5.787 -1.649
Cu -0.233 -7.849 -0.228
```

Computed properties:
- space group = P2_1/m (11)
- uncorrected formation energy (meV per atom) = 52
- total magnetic moment (μB/cell) = 0.0
- calculated volume (Å³ per atom) = 22.75
- theoretical density (g/cm³) = 6.42


4.
Compound: RbTlTcGe2
Source: Alexandria
Functional: PBE
Structure: optimized geometry

extended XYZ file:
```
5
Lattice="-1.880 4.207 1.725 -0.142 -1.920 4.528 5.028 1.859 0.946" Properties=species:S:1:pos:R:3 pbc="T T T"
Tl 2.514 0.929 0.473
Ge -0.071 -0.960 2.264
Tc 0.000 0.000 0.000
Rb 1.503 2.073 3.599
Ge -0.940 2.103 0.863
```

Computed properties:
- space group = P4/mmm (123)
- total magnetic moment (μB/cell) = 0.0
- calculated volume (Å³ per atom) = 26.35
- calculated formation energy (eV/atom) = 0.09
- theoretical density (g/cm³) = 6.72


5.
Compound: MgTl6Si2O7
Source: Alexandria
Functional: PBE
Structure: optimized geometry

extended XYZ file:
```
16
Lattice="0.999 4.310 -2.783 -7.019 -1.513 -5.707 -1.311 4.938 7.303" Properties=species:S:1:pos:R:3 pbc="T T T"
O -3.934 4.245 2.996
O -1.275 3.710 2.999
Tl -6.142 1.495 -3.788
Mg -3.937 2.627 -0.572
O -2.333 5.408 1.154
O -3.650 4.094 -1.812
Tl -4.591 6.802 0.783
O -2.846 2.784 0.994
Si -4.201 4.373 -3.354
Tl -6.791 3.625 -1.009
Tl -1.001 6.997 2.357
Si -2.603 4.032 2.045
Tl -2.474 0.689 -2.423
O -3.359 3.525 -4.482
O -5.823 4.023 -3.386
Tl -1.208 4.779 -1.014
```

Computed properties:
- space group = P1 (1)
- uncorrected formation energy (meV per atom) = -1418
- total magnetic moment (μB/cell) = 0.0
- calculated volume (Å³ per atom) = 23.27
- theoretical density (g/cm³) = 6.33


6.
Compound: LaAl3Zn2
Source: Alexandria
Functional: PBE
Structure: optimized geometry

extended XYZ file:
```
12
Lattice="4.154 0.000 1.144 1.016 6.688 4.425 -0.149 0.217 8.656" Properties=species:S:1:pos:R:3 pbc="T T T"
Al 4.683 4.760 7.340
Zn 2.163 1.039 8.374
Al 2.976 3.393 5.422
Al 2.838 0.695 5.923
Al 2.045 3.512 8.803
Al 2.183 6.210 8.302
La 3.735 1.501 2.666
Al 0.339 2.145 6.885
Zn 1.057 2.113 4.278
Zn 3.965 4.792 9.947
La 1.286 5.404 11.560
Zn 2.858 5.866 5.851
```

Computed properties:
- space group = C2/m (12)
- total magnetic moment (μB/cell) = 0.0
- calculated volume (Å³ per atom) = 19.82
- calculated formation energy (eV/atom) = -0.31
- theoretical density (g/cm³) = 4.90


Question: Which of these has the highest theoretical density?
Answer: MgReAg4


Question: Which value of total magnetic moment does entry 6 give?
Answer: 0.0 μB/cell


Question: Among the records above, which one has the highest calculated volume?
Answer: RbTlTcGe2


Question: Look up the theoretical density of the fifth one.
Answer: 6.33 g/cm³